Computed, not measured: a PBEsol-optimized structure of HfPd3W at the meta-GGA SCAN level of DFT.

Summary:
Total magnetic moment, μB per formula unit: 0.00
Calculated total energy, eV per atom: -45.0625

abc: 4.6967 4.6967 4.6967
angles: 90.00 90.00 90.00
Closest atoms and distances in Å follow each position.
Space group Pm-3m (No. 221)
One atom of each set of equivalent atoms:
Hf 0.0000 0.0000 0.0000  12 Pd 3.32
Pd 0.0000 0.5000 0.5000  2 W 2.35
W 0.5000 0.5000 0.5000  6 Pd 2.35

---

Computed, not measured: a PBEsol-optimized structure of Hf2PdW2 at the meta-GGA SCAN level of DFT.

Summary:
Total magnetic moment, μB per formula unit: 0.00
Calculated total energy, eV per atom: -58.3580

abc: 3.8979 3.8979 12.7918
angles: 90.00 90.00 90.00
Closest atoms and distances in Å follow each position.
Space group I4/mmm (No. 139)
One atom of each set of equivalent atoms:
Hf 0.0000 0.5000 0.2500  4 Hf 2.76, 4 W 2.82
Pd 0.0000 0.0000 0.0000  8 W 2.99
W 0.0000 0.0000 0.4092  1 W 2.32

---

Computed, not measured: a PBEsol-optimized structure of HfPdW3 at the meta-GGA SCAN level of DFT.

Summary:
Total magnetic moment, μB per formula unit: 0.00
Calculated total energy, eV per atom: -58.2645

abc: 4.6652 4.6652 4.6652
angles: 90.00 90.00 90.00
Closest atoms and distances in Å follow each position.
Space group Pm-3m (No. 221)
One atom of each set of equivalent atoms:
Hf 0.0000 0.0000 0.0000  6 W 2.33
Pd 0.5000 0.5000 0.5000  12 W 3.30
W 0.0000 0.0000 0.5000  2 Hf 2.33

---

Computed, not measured: a PBEsol-optimized structure of Hf2Zn2Pd at the meta-GGA SCAN level of DFT.

Summary:
Total magnetic moment, μB per formula unit: 0.00
Calculated total energy, eV per atom: -37.4658

abc: 6.6210 6.6210 3.8166
angles: 90.00 90.00 90.00
Closest atoms and distances in Å follow each position.
Space group P4/mbm (No. 127)
One atom of each set of equivalent atoms:
Hf 0.1711 0.3289 0.0000  6 Zn 2.67-2.77
Zn 0.1299 0.6299 0.5000  1 Zn 2.43, 2 Pd 2.60, 2 Hf 2.67
Pd 0.0000 0.0000 0.5000  4 Zn 2.60

---

Computed, not measured: a PBEsol-optimized structure of HfZr2Pd2 at the meta-GGA SCAN level of DFT.

Summary:
Total magnetic moment, μB per formula unit: 0.00
Calculated total energy, eV per atom: -38.5202

abc: 7.5759 7.5759 3.3078
angles: 90.00 90.00 90.00
Closest atoms and distances in Å follow each position.
Space group P4/mbm (No. 127)
One atom of each set of equivalent atoms:
Hf 0.0000 0.0000 0.0000  4 Pd 2.98, 8 Zr 3.26, 2 Hf 3.31
Zr 0.1722 0.3278 0.5000  6 Pd 2.71-2.83
Pd 0.1271 0.6271 0.0000  6 Zr 2.71-2.83, 1 Pd 2.72, 2 Hf 2.98

---

Computed, not measured: a PBEsol-optimized structure of Pr2HfS5 at the meta-GGA SCAN level of DFT.

Summary:
Total magnetic moment, μB per formula unit: 0.00
Formation energy (no corrections), eV per formula unit: -17.4
Calculated total energy, eV per atom: -26.8556

abc: 11.3057 8.0439 7.2677
angles: 90.00 90.00 90.00
Closest atoms and distances in Å follow each position.
Space group Pnma (No. 62)
One atom of each set of equivalent atoms:
Pr 0.1722 0.0001 0.0550  8 S 2.84-3.01
Hf 0.0097 0.2500 0.5733  7 S 2.53-2.67
S 0.0055 0.2500 0.9409  1 Hf 2.67, 4 Pr 2.84-2.88
S 0.0746 0.5365 0.6760  2 Hf 2.53-2.67
S 0.1906 0.2500 0.3562  1 Hf 2.58
S 0.2080 0.7500 0.3379  1 Hf 2.55